one:
Material: YAgIO2
Method: DFT, PBE
State: optimized geometry

Cell and atoms, written as CIF:
```
data_YAgIO2
_symmetry_space_group_name_H-M 'P 4/m m m'
_symmetry_Int_Tables_number 123
_symmetry_space_group_name_Hall '-P 4 2'
_cell_length_a 4.3025
_cell_length_b 4.3025
_cell_length_c 6.6451
_cell_angle_alpha 90.00
_cell_angle_beta 90.00
_cell_angle_gamma 90.00
loop_
_atom_site_label
_atom_site_type_symbol
_atom_site_fract_x
_atom_site_fract_y
_atom_site_fract_z
Y1 Y 0.0000 0.0000 0.0000
Ag1 Ag 0.5000 0.5000 0.5000
I1 I 0.0000 0.0000 0.5000
O1 O 0.0000 0.5000 0.0000
```

Output
The value obtained for the density is 4.80 g/cm3. As for the calculated volume: 24.60 A^3/atom.



two:
Material: YAgIO2
Method: DFT, PBE
State: optimized geometry

Cell and atoms, written as CIF:
```
data_YAgIO2
_symmetry_space_group_name_H-M 'P 4/m m m'
_symmetry_Int_Tables_number 123
_symmetry_space_group_name_Hall '-P 4 2'
_cell_length_a 4.3842
_cell_length_b 4.3842
_cell_length_c 5.1096
_cell_angle_alpha 90.00
_cell_angle_beta 90.00
_cell_angle_gamma 90.00
loop_
_atom_site_label
_atom_site_type_symbol
_atom_site_fract_x
_atom_site_fract_y
_atom_site_fract_z
Y1 Y 0.0000 0.0000 0.0000
Ag1 Ag 0.5000 0.5000 0.5000
I1 I 0.5000 0.5000 0.0000
O1 O 0.0000 0.5000 0.5000
```

Output
The value obtained for the density is 6.01 g/cm3. As for the calculated volume: 19.64 A^3/atom.



Energies relative to the minimum, meV per atom: one 0; two 933



one:
Material: ZnAgI2O
Method: DFT, PBE
State: optimized geometry

Cell and atoms, written as CIF:
```
data_ZnAgI2O
_symmetry_space_group_name_H-M 'P 4/m m m'
_symmetry_Int_Tables_number 123
_symmetry_space_group_name_Hall '-P 4 2'
_cell_length_a 5.7389
_cell_length_b 5.7389
_cell_length_c 4.0364
_cell_angle_alpha 90.00
_cell_angle_beta 90.00
_cell_angle_gamma 90.00
loop_
_atom_site_label
_atom_site_type_symbol
_atom_site_fract_x
_atom_site_fract_y
_atom_site_fract_z
Zn1 Zn 0.0000 0.0000 0.0000
Ag1 Ag 0.5000 0.5000 0.5000
I1 I 0.0000 0.5000 0.5000
O1 O 0.5000 0.5000 0.0000
```

Output
The value obtained for the density is 5.53 g/cm3. As for the calculated volume: 26.59 A^3/atom.



two:
Material: ZnAgI2O
Method: DFT, PBE
State: optimized geometry

Cell and atoms, written as CIF:
```
data_ZnAgI2O
_symmetry_space_group_name_H-M 'P 4/m m m'
_symmetry_Int_Tables_number 123
_symmetry_space_group_name_Hall '-P 4 2'
_cell_length_a 6.0154
_cell_length_b 6.0154
_cell_length_c 3.5942
_cell_angle_alpha 90.00
_cell_angle_beta 90.00
_cell_angle_gamma 90.00
loop_
_atom_site_label
_atom_site_type_symbol
_atom_site_fract_x
_atom_site_fract_y
_atom_site_fract_z
Zn1 Zn 0.0000 0.0000 0.0000
Ag1 Ag 0.5000 0.5000 0.5000
I1 I 0.0000 0.5000 0.0000
O1 O 0.0000 0.0000 0.5000
```

Output
The value obtained for the density is 5.66 g/cm3. As for the calculated volume: 26.01 A^3/atom.



Energies relative to the minimum, meV per atom: one 436; two 0



one:
Material: ZnAgIO2
Method: DFT, PBE
State: optimized geometry

Cell and atoms, written as CIF:
```
data_ZnAgIO2
_symmetry_space_group_name_H-M 'P 4/m m m'
_symmetry_Int_Tables_number 123
_symmetry_space_group_name_Hall '-P 4 2'
_cell_length_a 3.9021
_cell_length_b 3.9021
_cell_length_c 6.7103
_cell_angle_alpha 90.00
_cell_angle_beta 90.00
_cell_angle_gamma 90.00
loop_
_atom_site_label
_atom_site_type_symbol
_atom_site_fract_x
_atom_site_fract_y
_atom_site_fract_z
Zn1 Zn 0.0000 0.0000 0.0000
Ag1 Ag 0.5000 0.5000 0.5000
I1 I 0.0000 0.0000 0.5000
O1 O 0.0000 0.5000 0.0000
```

Output
The value obtained for the density is 5.40 g/cm3. As for the calculated volume: 20.43 A^3/atom.



two:
Material: ZnAgIO2
Method: DFT, PBE
State: optimized geometry

Cell and atoms, written as CIF:
```
data_ZnAgIO2
_symmetry_space_group_name_H-M 'P 4/m m m'
_symmetry_Int_Tables_number 123
_symmetry_space_group_name_Hall '-P 4 2'
_cell_length_a 4.0317
_cell_length_b 4.0317
_cell_length_c 6.8840
_cell_angle_alpha 90.00
_cell_angle_beta 90.00
_cell_angle_gamma 90.00
loop_
_atom_site_label
_atom_site_type_symbol
_atom_site_fract_x
_atom_site_fract_y
_atom_site_fract_z
Zn1 Zn 0.0000 0.0000 0.0000
Ag1 Ag 0.5000 0.5000 0.5000
I1 I 0.5000 0.5000 0.0000
O1 O 0.0000 0.5000 0.5000
```

Output
The value obtained for the density is 4.93 g/cm3. As for the calculated volume: 22.38 A^3/atom.



Energies relative to the minimum, meV per atom: one 0; two 350



one:
Material: AgSb2OsI
Method: DFT, PBE
State: optimized geometry

Cell and atoms, written as CIF:
```
data_AgSb2OsI
_symmetry_space_group_name_H-M 'P 4/m m m'
_symmetry_Int_Tables_number 123
_symmetry_space_group_name_Hall '-P 4 2'
_cell_length_a 5.0357
_cell_length_b 5.0357
_cell_length_c 5.9387
_cell_angle_alpha 90.00
_cell_angle_beta 90.00
_cell_angle_gamma 90.00
loop_
_atom_site_label
_atom_site_type_symbol
_atom_site_fract_x
_atom_site_fract_y
_atom_site_fract_z
Ag1 Ag 0.0000 0.0000 0.0000
Sb1 Sb 0.0000 0.5000 0.5000
Os1 Os 0.5000 0.5000 0.5000
I1 I 0.5000 0.5000 0.0000
```

Output
The value obtained for the density is 7.37 g/cm3. As for the calculated volume: 30.12 A^3/atom.



two:
Material: AgSb2OsI
Method: DFT, PBE
State: optimized geometry

Cell and atoms, written as CIF:
```
data_AgSb2OsI
_symmetry_space_group_name_H-M 'P 4/m m m'
_symmetry_Int_Tables_number 123
_symmetry_space_group_name_Hall '-P 4 2'
_cell_length_a 5.3253
_cell_length_b 5.3253
_cell_length_c 5.4056
_cell_angle_alpha 90.00
_cell_angle_beta 90.00
_cell_angle_gamma 90.00
loop_
_atom_site_label
_atom_site_type_symbol
_atom_site_fract_x
_atom_site_fract_y
_atom_site_fract_z
Ag1 Ag 0.0000 0.0000 0.0000
Sb1 Sb 0.0000 0.5000 0.0000
Os1 Os 0.5000 0.5000 0.5000
I1 I 0.0000 0.0000 0.5000
```

Output
The value obtained for the density is 7.24 g/cm3. As for the calculated volume: 30.66 A^3/atom.



Energies relative to the minimum, meV per atom: one 0; two 998



one:
Material: AgPI
Method: DFT, PBE
State: optimized geometry

Cell and atoms, written as CIF:
```
data_AgPI
_symmetry_space_group_name_H-M 'P -1'
_symmetry_Int_Tables_number 2
_cell_length_a 3.2351
_cell_length_b 4.1858
_cell_length_c 13.0804
_cell_angle_alpha 98.49
_cell_angle_beta 90.29
_cell_angle_gamma 90.01
loop_
_symmetry_equiv_pos_as_xyz
'x,y,z'
'-x,-y,-z'
loop_
_atom_site_label
_atom_site_type_symbol
_atom_site_fract_x
_atom_site_fract_y
_atom_site_fract_z
Ag1 Ag 0.2458 0.4263 0.3391
P1 P 0.2488 0.9745 0.4442
I1 I 0.2571 0.6649 0.8530
```

Output
The value obtained for the density is 5.04 g/cm3. As for the calculated volume: 29.20 A^3/atom.



two:
Material: AgPI
Method: DFT, PBE
State: optimized geometry

Cell and atoms, written as CIF:
```
data_AgPI
_symmetry_space_group_name_H-M 'C 1 m 1'
_symmetry_Int_Tables_number 8
_cell_length_a 17.4187
_cell_length_b 4.0887
_cell_length_c 6.2487
_cell_angle_alpha 90.00
_cell_angle_beta 108.61
_cell_angle_gamma 90.00
loop_
_symmetry_equiv_pos_as_xyz
'x,y,z'
'x,-y,z'
'x+1/2,y+1/2,z'
'x+1/2,-y+1/2,z'
loop_
_atom_site_label
_atom_site_type_symbol
_atom_site_fract_x
_atom_site_fract_y
_atom_site_fract_z
Ag1 Ag 0.0000 0.0000 0.0000
Ag2 Ag 0.2396 0.5000 0.8025
P1 P 0.3108 0.0000 0.7552
P2 P 0.4178 0.0000 0.0307
I1 I 0.1183 0.5000 0.9992
I2 I 0.3663 0.0000 0.3988
```

Output
The value obtained for the density is 4.19 g/cm3. As for the calculated volume: 35.15 A^3/atom.



Energies relative to the minimum, meV per atom: one 0; two 116



one:
Material: AgPI
Method: DFT, PBE
State: optimized geometry

Cell and atoms, written as CIF:
```
data_AgPI
_symmetry_space_group_name_H-M 'P 1'
_symmetry_Int_Tables_number 1
_cell_length_a 3.1945
_cell_length_b 4.2067
_cell_length_c 13.6468
_cell_angle_alpha 81.28
_cell_angle_beta 89.87
_cell_angle_gamma 89.98
loop_
_symmetry_equiv_pos_as_xyz
'x,y,z'
loop_
_atom_site_label
_atom_site_type_symbol
_atom_site_fract_x
_atom_site_fract_y
_atom_site_fract_z
Ag1 Ag 0.0000 0.0000 0.0000
Ag2 Ag 0.4996 0.1510 0.6944
P1 P 0.4986 0.6021 0.7935
P2 P 0.9977 0.5488 0.9010
I1 I 0.0072 0.9007 0.2063
I2 I 0.5019 0.2491 0.4881
```

Output
The value obtained for the density is 4.87 g/cm3. As for the calculated volume: 30.21 A^3/atom.



two:
Material: AgPI
Method: DFT, PBE
State: optimized geometry

Cell and atoms, written as CIF:
```
data_AgPI
_symmetry_space_group_name_H-M 'P 1'
_symmetry_Int_Tables_number 1
_cell_length_a 4.3497
_cell_length_b 4.5793
_cell_length_c 10.6680
_cell_angle_alpha 84.61
_cell_angle_beta 87.68
_cell_angle_gamma 61.87
loop_
_symmetry_equiv_pos_as_xyz
'x,y,z'
loop_
_atom_site_label
_atom_site_type_symbol
_atom_site_fract_x
_atom_site_fract_y
_atom_site_fract_z
Ag1 Ag 0.0000 0.0000 0.0000
Ag2 Ag 0.4893 0.1310 0.7938
P1 P 0.3242 0.3832 0.9976
P2 P 0.4544 0.0175 0.1483
I1 I 0.2080 0.2927 0.3445
I2 I 0.8082 0.5405 0.6718
```

Output
The value obtained for the density is 4.73 g/cm3. As for the calculated volume: 31.09 A^3/atom.



Energies relative to the minimum, meV per atom: one 0; two 70



one:
Material: AgPS2I
Method: DFT, PBE
State: optimized geometry

Cell and atoms, written as CIF:
```
data_AgPS2I
_symmetry_space_group_name_H-M 'P 4/m m m'
_symmetry_Int_Tables_number 123
_symmetry_space_group_name_Hall '-P 4 2'
_cell_length_a 4.8330
_cell_length_b 4.8330
_cell_length_c 4.9780
_cell_angle_alpha 90.00
_cell_angle_beta 90.00
_cell_angle_gamma 90.00
loop_
_atom_site_label
_atom_site_type_symbol
_atom_site_fract_x
_atom_site_fract_y
_atom_site_fract_z
Ag1 Ag 0.0000 0.0000 0.0000
P1 P 0.0000 0.0000 0.5000
S1 S 0.0000 0.5000 0.0000
I1 I 0.5000 0.5000 0.5000
```

Output
The value obtained for the density is 4.71 g/cm3. As for the calculated volume: 23.26 A^3/atom.



two:
Material: AgPS2I
Method: DFT, PBE
State: optimized geometry

Cell and atoms, written as CIF:
```
data_AgPS2I
_symmetry_space_group_name_H-M 'P 4/m m m'
_symmetry_Int_Tables_number 123
_symmetry_space_group_name_Hall '-P 4 2'
_cell_length_a 5.1199
_cell_length_b 5.1199
_cell_length_c 5.2843
_cell_angle_alpha 90.00
_cell_angle_beta 90.00
_cell_angle_gamma 90.00
loop_
_atom_site_label
_atom_site_type_symbol
_atom_site_fract_x
_atom_site_fract_y
_atom_site_fract_z
Ag1 Ag 0.0000 0.0000 0.0000
P1 P 0.5000 0.5000 0.0000
S1 S 0.0000 0.5000 0.5000
I1 I 0.5000 0.5000 0.5000
```

Output
The value obtained for the density is 3.95 g/cm3. As for the calculated volume: 27.70 A^3/atom.



Energies relative to the minimum, meV per atom: one 0; two 228



one:
Material: PaAg2I8
Method: DFT, PBE
State: optimized geometry

Cell and atoms, written as CIF:
```
data_PaAg2I8
_symmetry_space_group_name_H-M 'C 1 2/m 1'
_symmetry_Int_Tables_number 12
_cell_length_a 12.0165
_cell_length_b 12.7180
_cell_length_c 6.8359
_cell_angle_alpha 90.00
_cell_angle_beta 93.00
_cell_angle_gamma 90.00
loop_
_symmetry_equiv_pos_as_xyz
'x,y,z'
'-x,-y,-z'
'-x,y,-z'
'x,-y,z'
'x+1/2,y+1/2,z'
'-x+1/2,-y+1/2,-z'
'-x+1/2,y+1/2,-z'
'x+1/2,-y+1/2,z'
loop_
_atom_site_label
_atom_site_type_symbol
_atom_site_fract_x
_atom_site_fract_y
_atom_site_fract_z
Pa1 Pa 0.0000 0.0000 0.0000
Ag1 Ag 0.2453 0.5000 0.2601
I1 I 0.0177 0.5000 0.2518
I2 I 0.1120 0.1738 0.7921
I3 I 0.1893 0.0000 0.2872
```

Output
The value obtained for the density is 4.65 g/cm3. As for the calculated volume: 47.42 A^3/atom.



two:
Material: PaAg2I8
Method: DFT, PBE
State: optimized geometry

Cell and atoms, written as CIF:
```
data_PaAg2I8
_symmetry_space_group_name_H-M 'C 1 2/c 1'
_symmetry_Int_Tables_number 15
_cell_length_a 20.7097
_cell_length_b 9.2261
_cell_length_c 14.4583
_cell_angle_alpha 90.00
_cell_angle_beta 132.92
_cell_angle_gamma 90.00
loop_
_symmetry_equiv_pos_as_xyz
'x,y,z'
'-x,-y,-z'
'-x,y,-z+1/2'
'x,-y,z+1/2'
'x+1/2,y+1/2,z'
'-x+1/2,-y+1/2,-z'
'-x+1/2,y+1/2,-z+1/2'
'x+1/2,-y+1/2,z+1/2'
loop_
_atom_site_label
_atom_site_type_symbol
_atom_site_fract_x
_atom_site_fract_y
_atom_site_fract_z
Pa1 Pa 0.0000 0.0221 0.2500
Ag1 Ag 0.0878 0.2412 0.0012
I1 I 0.0755 0.2479 0.2046
I2 I 0.0900 0.2052 0.7234
I3 I 0.1622 0.0281 0.5240
I4 I 0.1773 0.4922 0.0735
```

Output
The value obtained for the density is 4.80 g/cm3. As for the calculated volume: 45.98 A^3/atom.



Energies relative to the minimum, meV per atom: one 0; two 56